## Ba3CuI2 (PBE-GGA)

Data for crystalline Ba3CuI2 at its relaxed geometry.

Cell lengths 8.378, 9.095, 8.355 Å; angles 81.17, 59.91, 72.18 degrees
Atoms (fractional coordinates):
Cu  0.668  0.000  0.664
Ba  0.289  0.215  0.000
Ba  0.434  0.781  0.639
I  0.500  0.500  0.000
I  0.156  0.500  0.688
Ba  0.566  0.219  0.361
I  0.000  0.000  0.000
Ba  0.711  0.785  0.000
Ba  0.927  0.219  0.639
I  0.844  0.500  0.312
Cu  0.332  0.000  0.336
Ba  0.073  0.781  0.361

## Properties
Volume = 524 Å³/cell
Formation energy (no corrections) = -874 meV/atom
Total moment = 0.000 μB per formula unit
Uncorrected energy = -3.0352 eV per atom